Below is crystalline SrZr2Br at its relaxed geometry, with properties calculated at the GGA-PBE level.

Computed properties:
- calculated volume (Å³/f.u.) = 114.65
- energy relative to the lowest polymorph listed for this composition (meV per atom) = 217.1
- SG = No. 10
- E_tot (eV per cell) = -20.55
- formation energy (no corrections) (eV per atom) = -0.0253

Unit cell a=6.5916 b=3.4027 c=5.1118 alpha=90.60 beta=90.00 gamma=90.00
Last column: nearest neighbours and their distance in Å.
Positions (direct):
Zr: 0.0000 0.0536 0.9794  1 Zr 2.71
Br: 0.5000 0.2500 0.2500  4 Sr 3.06-3.09, 2 Br 3.40
Zr: 0.0000 0.4464 0.5206  1 Zr 2.71
Sr: 0.5000 0.7500 0.7500  4 Br 3.06-3.09, 2 Sr 3.40